1.
First-principles (PBE) data for Ca5Sn3Cl16 after structural relaxation, as listed in the Alexandria database.

Cell lengths 8.4095, 8.4095, 12.5914 Å; angles 89.94, 89.94, 59.62 degrees
Element x y z (fractional)
1 Sn 0.8291 0.8291 0.7885
2 Ca 0.8311 0.3348 0.7894
3 Cl 0.6602 0.1821 0.9026
4 Sn 0.6617 0.1675 0.2889
5 Cl 0.5154 0.9580 0.6598
6 Ca 0.6640 0.6640 0.5161
7 Sn 0.1675 0.6617 0.2889
8 Ca 0.3348 0.8311 0.7894
9 Ca 0.1673 0.1673 0.2869
10 Cl 0.4795 0.4795 0.1539
11 Cl 0.8271 0.8271 0.4082
12 Cl 0.8410 0.3423 0.4001
13 Cl 0.0057 0.0057 0.1741
14 Cl 0.9580 0.5154 0.6598
15 Cl 0.5214 0.5214 0.6606
16 Cl 0.0047 0.0047 0.6804
17 Cl 0.4773 0.0423 0.1567
18 Ca 0.3327 0.3327 0.0116
19 Cl 0.1821 0.6602 0.9026
20 Cl 0.3251 0.3251 0.4072
21 Cl 0.3423 0.8410 0.4001
22 Cl 0.0423 0.4773 0.1567
23 Cl 0.1692 0.1692 0.8974
24 Cl 0.6608 0.6608 0.9045

Properties
ΔE_f (raw): -1.862 eV/atom
Fermi-level density of states: 0.00 states/eV per cell
Symmetry: Cm (8)
VASP energy: -96.3 eV/cell

***

2.
First-principles (PBE) data for CaSn3Cl after structural relaxation, as listed in the Alexandria database.

Cell lengths 5.9156, 5.9156, 5.9156 Å; angles 90.00, 90.00, 90.00 degrees
Element x y z (fractional)
1 Ca 0.0000 0.0000 0.0000
2 Cl 0.5000 0.5000 0.5000
3 Sn 0.5000 0.0000 0.0000
4 Sn 0.0000 0.5000 0.0000
5 Sn 0.0000 0.0000 0.5000

Properties
ΔE_f (raw): 0.549 eV/atom
Fermi-level density of states: 7.45 states/eV per cell
Symmetry: Pm-3m (221)
VASP energy: -13.1 eV/cell

***

3.
First-principles (PBE) data for CaSnCl2 after structural relaxation, as listed in the Alexandria database.

Cell lengths 8.0578, 8.0578, 6.6920 Å; angles 52.98, 52.98, 90.00 degrees
Element x y z (fractional)
1 Sn 0.7500 0.2500 0.5000
2 Sn 0.0000 0.0000 0.0000
3 Ca 0.2500 0.7500 0.5000
4 Ca 0.5000 0.5000 0.0000
5 Cl 0.5821 0.1250 0.2500
6 Cl 0.8750 0.8321 0.7500
7 Cl 0.1679 0.6250 0.2500
8 Cl 0.3750 0.4179 0.7500

Properties
ΔE_f (raw): -1.105 eV/atom
Fermi-level density of states: 1.64 states/eV per cell
Symmetry: I-42d (122)
VASP energy: -28.2 eV/cell

***

4.
First-principles (PBE) data for CaSnCl2 after structural relaxation, as listed in the Alexandria database.

Cell lengths 11.8397, 11.8397, 11.8397 Å; angles 18.40, 18.40, 18.40 degrees
Element x y z (fractional)
1 Ca 0.5000 0.5000 0.5000
2 Sn 0.0000 0.0000 0.0000
3 Cl 0.8784 0.8784 0.8784
4 Cl 0.1216 0.1216 0.1216

Properties
ΔE_f (raw): -1.443 eV/atom
Fermi-level density of states: 1.05 states/eV per cell
Symmetry: R-3m (166)
VASP energy: -15.5 eV/cell